(1)
The following is a DFT calculation (PBE) of a geometry-optimized Pm3Sm4HoTe8 structure.

Cell lengths 8.890, 8.870, 8.883 Å; angles 119.99, 120.03, 90.00 degrees
Sites, in units of the cell vectors:
Pm 0.500 0.500 0.000
Pm 0.500 0.500 0.500
Pm 0.000 0.500 0.500
Sm 0.500 0.000 0.000
Sm 0.500 0.000 0.500
Sm 0.000 0.000 0.000
Sm 0.000 0.000 0.500
Ho 0.000 0.500 0.000
Te 0.247 0.748 0.001
Te 0.247 0.748 0.493
Te 0.249 0.248 0.499
Te 0.755 0.748 0.001
Te 0.245 0.252 0.999
Te 0.751 0.752 0.501
Te 0.753 0.252 0.507
Te 0.753 0.252 0.999

* volume: 30.950 A^3/atom
* ΔE_f (raw): -21.91 eV per formula unit

(2)
The following is a DFT calculation (PBE) of a geometry-optimized Ba2LiCaPt structure.

Cell lengths 6.239, 6.239, 5.674 Å; angles 90.00, 90.00, 90.00 degrees
Sites, in units of the cell vectors:
Ca 0.000 0.000 0.500
Ba 0.000 0.500 0.000
Ba 0.500 0.000 0.000
Pt 0.000 0.000 0.000
Li 0.500 0.500 0.500

* volume: 44.172 A^3/atom
* ΔH_f (0 K): -0.3692 eV/atom

(3)
The following is a DFT calculation (PBE) of a geometry-optimized SrNiAgHg2 structure.

Cell lengths 5.022, 5.022, 5.067 Å; angles 90.00, 90.00, 90.00 degrees
Sites, in units of the cell vectors:
Sr 0.500 0.500 0.500
Hg 0.000 0.500 0.000
Hg 0.500 0.000 0.000
Ag 0.000 0.000 0.500
Ni 0.000 0.000 0.000

* volume: 25.555 A^3/atom
* ΔH_f (0 K): -0.1147 eV/atom

(4)
The following is a DFT calculation (PBE) of a geometry-optimized CdBBr2N structure.

Cell lengths 4.596, 4.532, 4.596 Å; angles 90.00, 90.00, 90.00 degrees
Sites, in units of the cell vectors:
B 0.000 0.500 0.000
N 0.000 0.000 0.000
Br 0.000 0.000 0.500
Br 0.500 0.000 0.000
Cd 0.500 0.500 0.500

* volume: 19.147 A^3/atom
* ΔE_f (raw): 7.59 eV per formula unit

(5)
The following is a DFT calculation (PBE) of a geometry-optimized BaEu3Si structure.

Cell lengths 6.011, 6.011, 6.011 Å; angles 90.00, 90.00, 90.00 degrees
Sites, in units of the cell vectors:
Eu 0.000 0.500 0.000
Eu 0.000 0.000 0.500
Eu 0.500 0.000 0.000
Si 0.000 0.000 0.000
Ba 0.500 0.500 0.500

* volume: 43.431 A^3/atom
* ΔE_f (raw): -0.51 eV per formula unit

(6)
The following is a DFT calculation (PBE) of a geometry-optimized BaHg2SbPt structure.

Cell lengths 5.294, 5.294, 5.450 Å; angles 90.00, 90.00, 90.00 degrees
Sites, in units of the cell vectors:
Sb 0.000 0.000 0.500
Hg 0.000 0.500 0.000
Hg 0.500 0.000 0.000
Pt 0.000 0.000 0.000
Ba 0.500 0.500 0.500

* volume: 30.553 A^3/atom
* ΔE_f (raw): -2.02 eV per formula unit

(7)
The following is a DFT calculation (PBE) of a geometry-optimized Pm4Tl2InRh structure.

Cell lengths 5.396, 5.396, 9.183 Å; angles 72.91, 72.91, 60.00 degrees
Sites, in units of the cell vectors:
Pm 0.387 0.387 0.838
Pm 0.867 0.867 0.399
Pm 0.133 0.133 0.601
Pm 0.613 0.613 0.162
Tl 0.742 0.742 0.774
Tl 0.258 0.258 0.226
In 0.000 0.000 0.000
Rh 0.500 0.500 0.500

* volume: 27.231 A^3/atom
* ΔH_f (0 K): -0.4410 eV/atom

(8)
The following is a DFT calculation (PBE) of a geometry-optimized TbNdGePt structure.

Cell lengths 5.104, 5.104, 5.104 Å; angles 60.00, 60.00, 60.00 degrees
Sites, in units of the cell vectors:
Nd 0.000 0.000 0.000
Ge 0.250 0.250 0.250
Tb 0.500 0.500 0.500
Pt 0.750 0.750 0.750

* volume: 23.511 A^3/atom
* ΔH_f (0 K): -0.8705 eV/atom

What is the formula in the fourth record? CdBBr2N